## A
## HoTmCd6 (GGA-PBE)

Data for a relaxed structure of HoTmCd6.

```
HoTmCd6
1.0
-0.948 1.515 4.713
-5.331 -4.673 0.429
3.193 -3.481 1.762
Cd Ho Tm
6 1 1
direct
0.500 0.251 0.245
0.500 0.749 0.245
0.000 0.500 0.254
0.500 0.000 0.746
0.000 0.251 0.755
0.000 0.749 0.755
0.000 0.000 0.255
0.500 0.500 0.745
```

## B
## HoTmCd6 (GGA-PBE)

Data for a relaxed structure of HoTmCd6.

```
HoTmCd6
1.0
-0.642 -5.577 -3.371
5.919 2.690 0.783
0.628 -2.598 4.178
Cd Ho Tm
6 1 1
direct
0.503 0.006 0.000
0.503 0.497 0.000
0.994 0.497 0.000
0.341 0.171 0.500
0.829 0.171 0.500
0.829 0.659 0.500
0.000 0.000 0.000
0.333 0.667 0.500
```

Most stable to least stable: B, A